VASP calculation (SCAN) on a PBEsol-optimized structure of V4As2O13.

Energy relative to the elements, uncorrected: -2126 meV/atom
Crystal system: triclinic
E: -231.73 eV/cell
Space group: P1, No. 1

a = 4.9461 Å, b = 4.9161 Å, c = 8.7644 Å
α = 89.86°, β = 79.66°, γ = 80.68°
Last column: nearest neighbours and their distance in Å.
Atoms (fractional coordinates):
O (0.7877, 0.0188, 0.1822)  1 As 1.77, 1 V 1.97
O (0.6003, 0.7152, 0.7909)  2 V 1.70-1.85
As (0.2349, 0.4391, 0.5881)  4 O 1.70-1.74
V (0.9244, 0.1632, 0.3587)  2 O 1.71
V (0.7401, 0.9587, 0.6782)  3 O 1.70-1.90
O (0.2788, 0.1612, 0.0199)  1 As 1.68
O (0.1134, 0.7725, 0.6458)  1 As 1.70, 1 V 1.90
V (0.5878, 0.7267, 0.2838)  5 O 1.82-1.99
O (0.8047, 0.1691, 0.8690)  1 As 1.74
O (0.9530, 0.2809, 0.5657)  1 As 1.74, 1 V 1.94
O (0.4030, 0.2639, 0.7238)  1 As 1.72
O (0.0910, 0.6688, 0.9517)  1 As 1.70, 1 V 1.89
O (0.9319, 0.4792, 0.2770)  2 V 1.71-1.92
O (0.5365, 0.5855, 0.1013)  2 V 1.73-1.82
O (0.6985, 0.9166, 0.4753)  2 V 1.84-1.95
O (0.4662, 0.4308, 0.4174)  1 As 1.71
As (0.0056, 0.0110, 0.9983)  4 O 1.68-1.77
O (0.2449, 0.9616, 0.3203)  2 V 1.71-1.87
V (0.4574, 0.4700, 0.9315)  3 O 1.73-1.89

VASP calculation (SCAN) on a PBEsol-optimized structure of V3As2O9.

Energy relative to the elements, uncorrected: -2143 meV/atom
Crystal system: tetragonal
E: -357.85 eV/cell
Space group: P4bm, No. 100

a = 4.1153 Å, b = 9.0407 Å, c = 9.0407 Å
α = 90.00°, β = 90.00°, γ = 90.00°
Last column: nearest neighbours and their distance in Å.
Atoms (fractional coordinates):
V (0.4352, 0.5000, 0.5000)  1 O 1.62
O (0.5187, 0.8755, 0.8222)  1 As 1.85, 2 V 1.97-1.99
O (0.9776, 0.1208, 0.3792)  1 V 1.65
O (0.4556, 0.4051, 0.0949)  1 As 1.83, 2 V 1.93
O (0.5187, 0.1778, 0.8755)  1 As 1.85, 2 V 1.97-1.99
O (0.9776, 0.6208, 0.1208)  1 V 1.65
As (0.7502, 0.7978, 0.2978)  3 O 1.83-1.85
As (0.7502, 0.2978, 0.2022)  3 O 1.83-1.85
O (0.4556, 0.9051, 0.4051)  1 As 1.83, 2 V 1.93
O (0.5187, 0.6245, 0.3222)  1 As 1.85, 2 V 1.97-1.99
O (0.4556, 0.5949, 0.9051)  1 As 1.83, 2 V 1.93
O (0.5187, 0.6778, 0.6245)  1 As 1.85, 2 V 1.97-1.99
As (0.7502, 0.2022, 0.7022)  3 O 1.83-1.85
O (0.0408, 0.5000, 0.5000)  1 V 1.62
O (0.5187, 0.1245, 0.1778)  1 As 1.85, 2 V 1.97-1.99
O (0.5187, 0.3755, 0.6778)  1 As 1.85, 2 V 1.97-1.99
O (0.5187, 0.3222, 0.3755)  1 As 1.85, 2 V 1.97-1.99
O (0.9776, 0.3792, 0.8792)  1 V 1.65
V (0.4352, 0.0000, 0.0000)  1 O 1.62
O (0.9776, 0.8792, 0.6208)  1 V 1.65
V (0.3771, 0.8854, 0.6146)  1 O 1.65
O (0.5187, 0.8222, 0.1245)  1 As 1.85, 2 V 1.97-1.99
As (0.7502, 0.7022, 0.7978)  3 O 1.83-1.85
V (0.3771, 0.6146, 0.1146)  1 O 1.65
V (0.3771, 0.1146, 0.3854)  1 O 1.65
V (0.3771, 0.3854, 0.8854)  1 O 1.65
O (0.4556, 0.0949, 0.5949)  1 As 1.83, 2 V 1.93
O (0.0408, 0.0000, 0.0000)  1 V 1.62

VASP calculation (SCAN) on a PBEsol-optimized structure of VAsO4.

Energy relative to the elements, uncorrected: -1938 meV/atom
Crystal system: monoclinic
E: -296.92 eV/cell
Space group: P2_1/c, No. 14

a = 6.2297 Å, b = 7.8490 Å, c = 7.0539 Å
α = 81.53°, β = 90.00°, γ = 90.00°
Last column: nearest neighbours and their distance in Å.
Atoms (fractional coordinates):
O (0.3587, 0.7029, 0.2575)  1 As 1.78, 1 V 1.80
As (0.9182, 0.6966, 0.0381)  3 O 1.78-1.83
O (0.1413, 0.2029, 0.7575)  1 As 1.78, 1 V 1.80
V (0.1091, 0.9818, 0.7239)  2 O 1.60-1.77
O (0.3885, 0.6130, 0.6428)  1 V 1.77, 1 As 1.83
O (0.1582, 0.9053, 0.4931)  1 As 1.83, 1 V 1.84
O (0.8110, 0.6102, 0.6639)  1 V 1.60
O (0.6890, 0.1102, 0.1639)  1 V 1.60
O (0.8418, 0.0947, 0.5069)  1 As 1.83, 1 V 1.84
As (0.5818, 0.1966, 0.5381)  3 O 1.78-1.83
O (0.8587, 0.7971, 0.2425)  1 As 1.78, 1 V 1.80
O (0.8885, 0.8870, 0.8572)  1 V 1.77, 1 As 1.83
V (0.8909, 0.0182, 0.2761)  2 O 1.60-1.77
O (0.1890, 0.3898, 0.3361)  1 V 1.60
V (0.3909, 0.4818, 0.2239)  2 O 1.60-1.77
V (0.6091, 0.5182, 0.7761)  2 O 1.60-1.77
O (0.6413, 0.2971, 0.7425)  1 As 1.78, 1 V 1.80
O (0.3110, 0.8898, 0.8361)  1 V 1.60
O (0.1115, 0.1130, 0.1428)  1 V 1.77, 1 As 1.83
As (0.0818, 0.3034, 0.9619)  3 O 1.78-1.83
As (0.4182, 0.8034, 0.4619)  3 O 1.78-1.83
O (0.6582, 0.5947, 0.0069)  1 As 1.83, 1 V 1.84
O (0.3418, 0.4053, 0.9931)  1 As 1.83, 1 V 1.84
O (0.6115, 0.3870, 0.3572)  1 V 1.77, 1 As 1.83